[1]
The following is a PBE calculation of crystalline Pa2Te3F4 at its relaxed geometry, from Alexandria.

Results
As for the space group: Immm, No. 71. As for the spin magnetization: 1.16 μB per formula unit. The raw formation energy is -2.215 eV/atom.

abc: 7.8409 7.8409 7.8409
angles: 147.30 114.62 75.05
Fractional positions:
Pa: 0.2421 0.0000 0.2421
Pa: 0.7579 0.0000 0.7579
Te: 0.1109 0.6109 0.5000
Te: 0.5000 0.5000 0.0000
Te: 0.8891 0.3891 0.5000
F: 0.1335 0.8376 0.2958
F: 0.4582 0.1624 0.2958
F: 0.5418 0.8376 0.7042
F: 0.8665 0.1624 0.7042

[2]
The following is a PBE calculation of crystalline Nd6Si3Ag at its relaxed geometry, from Alexandria.

Results
As for the space group: P2_1/c, No. 14. As for the spin magnetization: 0.00 μB per formula unit. The raw formation energy is -0.339 eV/atom.

abc: 7.2825 8.1152 12.1351
angles: 90.00 124.14 90.00
Fractional positions:
Nd: 0.0464 0.0856 0.2446
Nd: 0.0464 0.4144 0.7446
Nd: 0.2205 0.6819 0.0709
Nd: 0.2205 0.8181 0.5709
Nd: 0.3983 0.1716 0.0710
Nd: 0.3983 0.3284 0.5710
Nd: 0.6017 0.6716 0.4290
Nd: 0.6017 0.8284 0.9290
Nd: 0.7795 0.1819 0.4291
Nd: 0.7795 0.3181 0.9291
Nd: 0.9536 0.5856 0.2554
Nd: 0.9536 0.9144 0.7554
Si: 0.0000 0.0000 0.0000
Si: 0.0000 0.5000 0.5000
Si: 0.3092 0.1162 0.7589
Si: 0.3092 0.3838 0.2589
Si: 0.6908 0.6162 0.7411
Si: 0.6908 0.8838 0.2411
Ag: 0.5000 0.0000 0.5000
Ag: 0.5000 0.5000 0.0000

[3]
The following is a PBE calculation of crystalline SnH4Br2 at its relaxed geometry, from Alexandria.

Results
As for the space group: I4/mmm, No. 139. As for the final energy: -19.5 eV for the cell shown. As for the spin magnetization: 0.00 μB per formula unit.

abc: 9.9124 9.9124 9.9124
angles: 156.34 156.34 33.70
Fractional positions:
Sn: 0.0000 0.0000 0.0000
H: 0.0000 0.5000 0.5000
H: 0.2552 0.2552 0.0000
H: 0.5000 0.0000 0.5000
H: 0.7448 0.7448 0.0000
Br: 0.3313 0.3313 0.0000
Br: 0.6687 0.6687 0.0000

[4]
The following is a PBE calculation of crystalline NdDy3Er2Tm6 at its relaxed geometry, from Alexandria.

Results
As for the space group: C2/m, No. 12. As for the final energy: -54.3 eV for the cell shown. As for the spin magnetization: 0.00 μB per formula unit.

abc: 6.0917 6.0917 11.6489
angles: 94.99 94.99 119.95
Fractional positions:
Nd: 0.0000 0.0000 0.0000
Dy: 0.1669 0.8331 0.5000
Dy: 0.5000 0.5000 0.5000
Dy: 0.8331 0.1669 0.5000
Er: 0.3333 0.6667 0.0000
Er: 0.6667 0.3333 0.0000
Tm: 0.0840 0.4180 0.2509
Tm: 0.2501 0.2501 0.7493
Tm: 0.4180 0.0840 0.2509
Tm: 0.5820 0.9160 0.7491
Tm: 0.7499 0.7499 0.2507
Tm: 0.9160 0.5820 0.7491

[5]
The following is a PBE calculation of crystalline AcPr4Sn2 at its relaxed geometry, from Alexandria.

Results
As for the space group: I4/mmm, No. 139. As for the final energy: -32.0 eV for the cell shown. As for the spin magnetization: 0.00 μB per formula unit.

abc: 13.3949 13.3949 13.3949
angles: 160.05 160.05 28.36
Fractional positions:
Ac: 0.0000 0.0000 0.0000
Pr: 0.1359 0.1359 0.0000
Pr: 0.2500 0.7500 0.5000
Pr: 0.7500 0.2500 0.5000
Pr: 0.8641 0.8641 0.0000
Sn: 0.3478 0.3478 0.0000
Sn: 0.6522 0.6522 0.0000

[6]
The following is a PBE calculation of crystalline Zn3RuPb at its relaxed geometry, from Alexandria.

Results
As for the space group: Pm-3m, No. 221. As for the spin magnetization: 0.00 μB per formula unit. The energy above the most stable polymorph in this dataset is 0.000 eV/f.u.

abc: 4.8156 4.8156 4.8156
angles: 90.00 90.00 90.00
Fractional positions:
Zn: 0.0000 0.0000 0.5000
Zn: 0.0000 0.5000 0.0000
Zn: 0.5000 0.0000 0.0000
Ru: 0.0000 0.0000 0.0000
Pb: 0.5000 0.5000 0.5000

[7]
The following is a PBE calculation of crystalline TbNd2Ni2 at its relaxed geometry, from Alexandria.

Results
As for the space group: P4/mbm, No. 127. As for the spin magnetization: 0.00 μB per formula unit. The energy above the most stable polymorph in this dataset is 0.155 eV/f.u.

abc: 7.7070 7.7070 3.9412
angles: 90.00 90.00 90.00
Fractional positions:
Tb: 0.0000 0.0000 0.0000
Tb: 0.5000 0.5000 0.0000
Nd: 0.1674 0.3326 0.5000
Nd: 0.3326 0.8326 0.5000
Nd: 0.6674 0.1674 0.5000
Nd: 0.8326 0.6674 0.5000
Ni: 0.1204 0.6204 0.0000
Ni: 0.3796 0.1204 0.0000
Ni: 0.6204 0.8796 0.0000
Ni: 0.8796 0.3796 0.0000

[8]
The following is a PBE calculation of crystalline BaNdTm2 at its relaxed geometry, from Alexandria.

Results
As for the space group: R-3m, No. 166. As for the spin magnetization: 0.07 μB per formula unit. The energy above the most stable polymorph in this dataset is 0.299 eV/f.u.

abc: 13.0162 13.0162 13.0162
angles: 15.95 15.95 15.95
Fractional positions:
Ba: 0.0000 0.0000 0.0000
Nd: 0.5000 0.5000 0.5000
Tm: 0.0932 0.0932 0.0932
Tm: 0.9068 0.9068 0.9068

[9]
The following is a PBE calculation of crystalline BaIrPb3 at its relaxed geometry, from Alexandria.

Results
As for the space group: Pm-3m, No. 221. As for the final energy: -21.6 eV for the cell shown. As for the spin magnetization: 0.00 μB per formula unit.

abc: 5.4641 5.4641 5.4641
angles: 90.00 90.00 90.00
Fractional positions:
Ba: 0.0000 0.0000 0.0000
Ir: 0.5000 0.5000 0.5000
Pb: 0.0000 0.5000 0.5000
Pb: 0.5000 0.0000 0.5000
Pb: 0.5000 0.5000 0.0000

[10]
The following is a PBE calculation of crystalline AcNd3Dy at its relaxed geometry, from Alexandria.

Results
As for the space group: Pmmn, No. 59. As for the spin magnetization: 0.00 μB per formula unit. The energy above the most stable polymorph in this dataset is 0.000 eV/f.u.

abc: 3.9448 10.8800 9.0776
angles: 90.00 90.00 90.00
Fractional positions:
Ac: 0.2500 0.2500 0.0471
Ac: 0.7500 0.7500 0.9529
Nd: 0.2500 0.2500 0.4346
Nd: 0.2500 0.5148 0.7096
Nd: 0.2500 0.9852 0.7096
Nd: 0.7500 0.0148 0.2904
Nd: 0.7500 0.4852 0.2904
Nd: 0.7500 0.7500 0.5654
Dy: 0.2500 0.7500 0.2736
Dy: 0.7500 0.2500 0.7264

[11]
The following is a PBE calculation of crystalline PuGa6Pd6 at its relaxed geometry, from Alexandria.

Results
As for the space group: Immm, No. 71. As for the final energy: -70.8 eV for the cell shown. As for the spin magnetization: 5.76 μB per formula unit.

abc: 6.9169 6.9169 6.9169
angles: 133.24 104.69 93.52
Fractional positions:
Pu: 0.0000 0.0000 0.0000
Ga: 0.1729 0.6729 0.5000
Ga: 0.3382 0.3382 0.0000
Ga: 0.3511 0.0000 0.3511
Ga: 0.6489 0.0000 0.6489
Ga: 0.6618 0.6618 0.0000
Ga: 0.8271 0.3271 0.5000
Pd: 0.0000 0.0000 0.5000
Pd: 0.0000 0.5000 0.0000
Pd: 0.2474 0.5000 0.7474
Pd: 0.5000 0.0000 0.0000
Pd: 0.5000 0.5000 0.5000
Pd: 0.7526 0.5000 0.2526

[12]
The following is a PBE calculation of crystalline YZn3Ir3 at its relaxed geometry, from Alexandria.

Results
As for the space group: Pm-3n, No. 223. As for the final energy: -66.0 eV for the cell shown. As for the spin magnetization: 0.00 μB per formula unit.

abc: 6.7173 6.7173 6.7173
angles: 90.00 90.00 90.00
Fractional positions:
Y: 0.0000 0.0000 0.0000
Y: 0.5000 0.5000 0.5000
Zn: 0.0000 0.2500 0.5000
Zn: 0.0000 0.7500 0.5000
Zn: 0.2500 0.5000 0.0000
Zn: 0.5000 0.0000 0.2500
Zn: 0.5000 0.0000 0.7500
Zn: 0.7500 0.5000 0.0000
Ir: 0.0000 0.5000 0.2500
Ir: 0.0000 0.5000 0.7500
Ir: 0.2500 0.0000 0.5000
Ir: 0.5000 0.2500 0.0000
Ir: 0.5000 0.7500 0.0000
Ir: 0.7500 0.0000 0.5000

[13]
The following is a PBE calculation of crystalline HRuAu2S at its relaxed geometry, from Alexandria.

Results
As for the space group: P4/mmm, No. 123. As for the final energy: -18.4 eV for the cell shown. As for the spin magnetization: 1.64 μB per formula unit.

abc: 5.2096 5.2096 4.2828
angles: 90.00 90.00 90.00
Fractional positions:
H: 0.0000 0.0000 0.0000
Ru: 0.5000 0.5000 0.5000
Au: 0.0000 0.5000 0.5000
Au: 0.5000 0.0000 0.5000
S: 0.5000 0.5000 0.0000

[14]
The following is a PBE calculation of crystalline Nd3Ge2O8 at its relaxed geometry, from Alexandria.

Results
As for the space group: R-3m, No. 166. As for the spin magnetization: 0.00 μB per formula unit. The raw formation energy is -2.464 eV/atom.

abc: 7.2816 7.2816 7.2816
angles: 45.43 45.43 45.43
Fractional positions:
Nd: 0.0000 0.0000 0.0000
Nd: 0.2007 0.2007 0.2007
Nd: 0.7993 0.7993 0.7993
Ge: 0.4060 0.4060 0.4060
Ge: 0.5940 0.5940 0.5940
O: 0.2192 0.7379 0.7379
O: 0.2621 0.2621 0.7808
O: 0.2621 0.7808 0.2621
O: 0.3166 0.3166 0.3166
O: 0.6834 0.6834 0.6834
O: 0.7379 0.2192 0.7379
O: 0.7379 0.7379 0.2192
O: 0.7808 0.2621 0.2621

[15]
The following is a PBE calculation of crystalline BaNa2LiF at its relaxed geometry, from Alexandria.

Results
As for the space group: P4/mmm, No. 123. As for the spin magnetization: 0.00 μB per formula unit. The raw formation energy is -0.977 eV/atom.

abc: 5.4679 5.4679 5.2492
angles: 90.00 90.00 90.00
Fractional positions:
Ba: 0.0000 0.0000 0.0000
Na: 0.0000 0.5000 0.5000
Na: 0.5000 0.0000 0.5000
Li: 0.5000 0.5000 0.0000
F: 0.0000 0.0000 0.5000

[16]
The following is a PBE calculation of crystalline CdP4Ir at its relaxed geometry, from Alexandria.

Results
As for the space group: F-43m, No. 216. As for the final energy: -26.5 eV for the cell shown. As for the spin magnetization: 0.00 μB per formula unit.

abc: 5.1272 5.1272 5.1272
angles: 60.00 60.00 60.00
Fractional positions:
Cd: 0.0000 0.0000 0.0000
P: 0.3701 0.3701 0.3701
P: 0.3701 0.3701 0.8896
P: 0.3701 0.8896 0.3701
P: 0.8896 0.3701 0.3701
Ir: 0.7500 0.7500 0.7500

[17]
The following is a PBE calculation of crystalline HgTeNO2 at its relaxed geometry, from Alexandria.

Results
As for the space group: P4/mmm, No. 123. As for the spin magnetization: 0.00 μB per formula unit. The raw formation energy is 0.239 eV/atom.

abc: 4.0075 4.0075 4.2833
angles: 90.00 90.00 90.00
Fractional positions:
Hg: 0.0000 0.0000 0.0000
Te: 0.5000 0.5000 0.5000
N: 0.5000 0.5000 0.0000
O: 0.0000 0.5000 0.5000
O: 0.5000 0.0000 0.5000

[18]
The following is a PBE calculation of crystalline LaGa2Cu at its relaxed geometry, from Alexandria.

Results
As for the space group: Cmmm, No. 65. As for the final energy: -34.3 eV for the cell shown. As for the spin magnetization: 0.00 μB per formula unit.

abc: 9.2210 9.2210 4.2951
angles: 90.00 90.00 152.96
Fractional positions:
La: 0.1425 0.8575 0.0000
La: 0.8575 0.1425 0.0000
Ga: 0.0000 0.0000 0.5000
Ga: 0.2869 0.7131 0.5000
Ga: 0.5000 0.5000 0.0000
Ga: 0.7131 0.2869 0.5000
Cu: 0.4240 0.5760 0.5000
Cu: 0.5760 0.4240 0.5000

[19]
The following is a PBE calculation of crystalline BaMgAl2 at its relaxed geometry, from Alexandria.

Results
As for the space group: Pm, No. 6. As for the final energy: -11.1 eV for the cell shown. As for the spin magnetization: 0.00 μB per formula unit.

abc: 3.7125 4.5194 6.9776
angles: 90.00 105.32 90.00
Fractional positions:
Ba: 0.0000 0.0000 0.0000
Mg: 0.6984 0.5000 0.3914
Al: 0.2650 0.0000 0.5235
Al: 0.3680 0.5000 0.7353

[20]
The following is a PBE calculation of crystalline Ca4AcPr at its relaxed geometry, from Alexandria.

Results
As for the space group: F-43m, No. 216. As for the final energy: -15.6 eV for the cell shown. As for the spin magnetization: 2.54 μB per formula unit.

abc: 7.1590 7.1590 7.1590
angles: 60.00 60.00 60.00
Fractional positions:
Ca: 0.1247 0.1247 0.1247
Ca: 0.1247 0.1247 0.6260
Ca: 0.1247 0.6260 0.1247
Ca: 0.6260 0.1247 0.1247
Ac: 0.5000 0.5000 0.5000
Pr: 0.7500 0.7500 0.7500